1.
Computed, not measured: a geometry-optimized Na2PaAu2Se4 structure at the PBE level of DFT.

Lattice parameters (Å, degrees): 7.8102 7.8102 7.7615 113.10 113.10 30.40
Element x y z (fractional)
1 Na 0.1310 0.1310 0.0863
2 Na 0.8690 0.8690 0.9137
3 Pa 0.0000 0.0000 0.5000
4 Au 0.3087 0.3087 0.4661
5 Au 0.6913 0.6913 0.5339
6 Se 0.1977 0.1977 0.7570
7 Se 0.4852 0.4852 0.7502
8 Se 0.5148 0.5148 0.2498
9 Se 0.8023 0.8023 0.2430

Output
formation energy from raw total energies	-739	kJ/mol of formula units

=====

2.
Computed, not measured: a geometry-optimized Na4Pa3AuSe8 structure at the PBE level of DFT.

Lattice parameters (Å, degrees): 8.2529 8.2529 8.5635 119.00 119.00 59.38
Element x y z (fractional)
1 Na 0.0000 0.0000 0.0000
2 Na 0.0000 0.5000 0.0000
3 Na 0.5000 0.0000 0.0000
4 Na 0.5000 0.5000 0.0000
5 Pa 0.0000 0.0000 0.5000
6 Pa 0.0000 0.5000 0.5000
7 Pa 0.5000 0.0000 0.5000
8 Au 0.5000 0.5000 0.5000
9 Se 0.2405 0.7445 0.7314
10 Se 0.2442 0.2442 0.7355
11 Se 0.2489 0.2489 0.2631
12 Se 0.2555 0.7595 0.2686
13 Se 0.7445 0.2405 0.7314
14 Se 0.7511 0.7511 0.7369
15 Se 0.7558 0.7558 0.2645
16 Se 0.7595 0.2555 0.2686

Output
formation energy from raw total energies	-1737	kJ/mol of formula units

=====

3.
Computed, not measured: a geometry-optimized Na2PaTe4Au structure at the PBE level of DFT.

Lattice parameters (Å, degrees): 7.9270 7.9270 7.1813 90.00 90.00 90.00
Element x y z (fractional)
1 Na 0.0000 0.5000 0.0000
2 Na 0.0000 0.5000 0.5000
3 Na 0.5000 0.0000 0.0000
4 Na 0.5000 0.0000 0.5000
5 Pa 0.0000 0.0000 0.0000
6 Pa 0.5000 0.5000 0.5000
7 Te 0.2018 0.2018 0.2666
8 Te 0.2018 0.7982 0.7334
9 Te 0.2982 0.2982 0.7666
10 Te 0.2982 0.7018 0.2334
11 Te 0.7018 0.2982 0.2334
12 Te 0.7018 0.7018 0.7666
13 Te 0.7982 0.2018 0.7334
14 Te 0.7982 0.7982 0.2666
15 Au 0.0000 0.0000 0.5000
16 Au 0.5000 0.5000 0.0000

Output
formation energy from raw total energies	-480	kJ/mol of formula units

=====

4.
Computed, not measured: a geometry-optimized Na3Pa2Te6Au structure at the PBE level of DFT.

Lattice parameters (Å, degrees): 10.2745 10.2745 9.0651 107.88 107.88 24.52
Element x y z (fractional)
1 Na 0.0000 0.0000 0.0000
2 Na 0.3402 0.3402 0.6823
3 Na 0.6599 0.6599 0.3177
4 Pa 0.3409 0.3409 0.1926
5 Pa 0.6590 0.6590 0.8074
6 Te 0.1732 0.1732 0.0619
7 Te 0.1727 0.1727 0.5834
8 Te 0.4965 0.4965 0.2733
9 Te 0.5035 0.5035 0.7267
10 Te 0.8273 0.8273 0.4166
11 Te 0.8268 0.8268 0.9381
12 Au 0.0000 0.0000 0.5000

Output
formation energy from raw total energies	-848	kJ/mol of formula units

=====

Q: Among the records above, which one has the highest formation energy from raw total energies?
A: Na2PaTe4Au

=====

Repeat the third record exactly.
Computed, not measured: a geometry-optimized Na2PaTe4Au structure at the PBE level of DFT.

Lattice parameters (Å, degrees): 7.9270 7.9270 7.1813 90.00 90.00 90.00
Element x y z (fractional)
1 Na 0.0000 0.5000 0.0000
2 Na 0.0000 0.5000 0.5000
3 Na 0.5000 0.0000 0.0000
4 Na 0.5000 0.0000 0.5000
5 Pa 0.0000 0.0000 0.0000
6 Pa 0.5000 0.5000 0.5000
7 Te 0.2018 0.2018 0.2666
8 Te 0.2018 0.7982 0.7334
9 Te 0.2982 0.2982 0.7666
10 Te 0.2982 0.7018 0.2334
11 Te 0.7018 0.2982 0.2334
12 Te 0.7018 0.7018 0.7666
13 Te 0.7982 0.2018 0.7334
14 Te 0.7982 0.7982 0.2666
15 Au 0.0000 0.0000 0.5000
16 Au 0.5000 0.5000 0.0000

Output
formation energy from raw total energies	-480	kJ/mol of formula units

=====

Q: Look up the formation energy from raw total energies of the third one.
A: -480 kJ/mol of formula units

=====

Q: What is the formula in the first record?
A: Na2PaAu2Se4